# 1
{"formula": "TiFeCo4", "functional": "PBE", "state": "optimized geometry", "cell": [[4.612, 0.000, 0.000], [0.000, 4.612, 0.000], [0.000, 0.000, 7.944]], "species": ["Fe", "Fe", "Co", "Co", "Co", "Co", "Co", "Co", "Co", "Co", "Ti", "Ti"], "frac_coords": [[0.000, 0.000, 0.500], [0.500, 0.500, 0.000], [0.269, 0.000, 0.254], [0.769, 0.500, 0.246], [0.500, 0.769, 0.754], [0.231, 0.500, 0.246], [0.500, 0.231, 0.754], [0.731, 0.000, 0.254], [0.000, 0.269, 0.746], [0.000, 0.731, 0.746], [0.000, 0.000, 0.000], [0.500, 0.500, 0.500]], "de_polymorph_mev_per_atom": 648, "volume_a3_per_atom": 14.1, "m_tot_mub_per_fu": 7.3, "formation_energy_ev_per_atom": 0.499, "spacegroup": "P4_2/nmc, No. 137"}

=====

# 2
{"formula": "Ti3FeCo2", "functional": "PBE", "state": "optimized geometry", "cell": [[-2.358, -0.738, 1.637], [0.434, -2.856, -0.662], [5.257, -0.865, 7.184]], "species": ["Fe", "Co", "Co", "Ti", "Ti", "Ti"], "frac_coords": [[0.500, 0.500, 0.500], [0.500, 0.500, 0.166], [0.500, 0.500, 0.834], [0.000, 0.000, 0.000], [0.000, 0.000, 0.664], [0.000, 0.000, 0.336]], "de_polymorph_mev_per_atom": 6, "volume_a3_per_atom": 13.1, "m_tot_mub_per_fu": 1.4, "formation_energy_ev_per_atom": -0.392, "spacegroup": "P4/mmm, No. 123"}